The following is a DFT calculation (GGA-PBE) of crystalline Cs at its relaxed geometry.

Results
Uncorrected energy ... -0.853 eV/atom
DFT formation energy ... 0.00 eV per formula unit
Energy relative to the lowest polymorph listed for this composition ... 0.009 kcal/mol of atoms

a b c (Å): 5.4675 5.4675 17.7305
angles (deg): 90.00 90.00 120.00
Closest atoms and distances in Å follow each position.
Sites, in units of the cell vectors:
Cs1 0.0000 0.0000 0.0000  12 Cs 5.44-5.47
Cs2 0.3333 0.6667 0.2500  12 Cs 5.44-5.47
Cs3 0.0000 0.0000 0.5000  12 Cs 5.44-5.47
Cs4 0.6667 0.3333 0.7500  12 Cs 5.44-5.47

The following is a DFT calculation (GGA-PBE) of crystalline CaBe2Ir at its relaxed geometry.

Results
Uncorrected energy ... -4.771 eV/atom
DFT formation energy ... -0.77 eV per formula unit
Energy relative to the lowest polymorph listed for this composition ... 4.163 kcal/mol of atoms

a b c (Å): 3.0017 3.0021 6.4893
angles (deg): 90.00 90.00 90.00
Closest atoms and distances in Å follow each position.
Sites, in units of the cell vectors:
Be1 0.0000 0.0000 0.9200  1 Be 2.21, 4 Ir 2.39
Be2 0.0000 0.0000 0.5800  1 Be 2.21, 4 Ir 2.39
Ca1 0.5000 0.5000 0.2500  4 Ca 3.00, 8 Be 3.02, 2 Ir 3.24
Ir1 0.5000 0.5000 0.7500  8 Be 2.39

The following is a DFT calculation (GGA-PBE) of crystalline Dy5Y8Th at its relaxed geometry.

Results
Uncorrected energy ... -5.580 eV/atom
DFT formation energy ... 4.02 eV per formula unit

a b c (Å): 8.4626 8.4626 8.4626
angles (deg): 110.74 106.97 110.74
Closest atoms and distances in Å follow each position.
Sites, in units of the cell vectors:
Dy1 0.0345 0.3267 0.1343  8 Y 3.32-3.53, 2 Dy 3.65
Dy2 0.8657 0.9002 0.1924  8 Y 3.32-3.53, 2 Dy 3.65
Dy3 0.8076 0.6733 0.7079  8 Y 3.32-3.53, 2 Dy 3.65
Dy4 0.5000 0.0000 0.5000  8 Y 3.16-3.33
Dy5 0.2921 0.0998 0.9655  8 Y 3.32-3.53, 2 Dy 3.65
Y1 0.1591 0.7380 0.0744  5 Dy 3.16-3.53, 1 Th 3.26
Y2 0.9256 0.0847 0.6635  5 Dy 3.16-3.53, 1 Th 3.26
Y3 0.7356 0.2554 0.3405  5 Dy 3.33-3.53, 3 Y 3.62-3.65
Y4 0.6595 0.3952 0.9150  5 Dy 3.33-3.53, 3 Y 3.62-3.65
Y5 0.5198 0.6048 0.2644  5 Dy 3.33-3.53, 3 Y 3.62-3.65
Y6 0.5789 0.9153 0.8409  5 Dy 3.16-3.53, 1 Th 3.26
Y7 0.3365 0.2620 0.4211  5 Dy 3.16-3.53, 1 Th 3.26
Y8 0.0850 0.7446 0.4802  5 Dy 3.33-3.53, 3 Y 3.62-3.65
Th1 0.2500 0.5000 0.7500  4 Y 3.26

The following is a DFT calculation (GGA-PBE) of crystalline CaTbHo2 at its relaxed geometry.

Results
Uncorrected energy ... -3.871 eV/atom
DFT formation energy ... 0.30 eV per formula unit
Energy relative to the lowest polymorph listed for this composition ... 0.269 kcal/mol of atoms

a b c (Å): 3.6064 3.6064 10.3349
angles (deg): 90.00 90.00 90.00
Closest atoms and distances in Å follow each position.
Sites, in units of the cell vectors:
Ca1 0.5000 0.5000 0.5000  4 Ca 3.61, 8 Ho 3.78
Tb1 0.5000 0.5000 0.0000  8 Ho 3.49, 4 Tb 3.61
Ho1 0.0000 0.0000 0.7697  4 Tb 3.49, 4 Ho 3.61, 4 Ca 3.78
Ho2 0.0000 0.0000 0.2303  4 Tb 3.49, 4 Ho 3.61, 4 Ca 3.78

The following is a DFT calculation (GGA-PBE) of crystalline La6HgAu2 at its relaxed geometry.

Results
Uncorrected energy ... -4.497 eV/atom
DFT formation energy ... -4.05 eV per formula unit

a b c (Å): 9.0769 9.0769 9.0769
angles (deg): 105.81 110.26 112.41
Closest atoms and distances in Å follow each position.
Sites, in units of the cell vectors:
La1 0.5460 0.7219 0.8241  3 Au 3.23-3.32, 1 Hg 3.35
La2 0.4540 0.2781 0.1759  3 Au 3.23-3.32, 1 Hg 3.35
La3 0.1022 0.2781 0.8241  3 Au 3.23-3.32, 1 Hg 3.35
La4 0.8978 0.7219 0.1759  3 Au 3.23-3.32, 1 Hg 3.35
La5 0.8077 0.7521 0.5597  2 Au 3.15-3.45, 2 Hg 3.37-3.41
La6 0.1923 0.2479 0.4403  2 Au 3.15-3.45, 2 Hg 3.37-3.41
La7 0.1923 0.7521 0.9444  2 Au 3.15-3.45, 2 Hg 3.37-3.41
La8 0.8077 0.2479 0.0556  2 Au 3.15-3.45, 2 Hg 3.37-3.41
La9 0.7053 0.3761 0.6708  3 Au 2.99-3.22
La10 0.2947 0.6239 0.3292  3 Au 2.99-3.22
La11 0.2947 0.9656 0.6708  3 Au 2.99-3.22
La12 0.7053 0.0344 0.3292  3 Au 2.99-3.22
Hg1 0.0000 0.5000 0.5000  8 La 3.41-3.51
Hg2 0.0000 0.0000 0.0000  8 La 3.35-3.37, 2 Au 3.59
Au1 0.5000 0.3679 0.8679  1 Au 2.89, 6 La 2.99-3.23
Au2 0.5000 0.6321 0.1321  1 Au 2.89, 6 La 2.99-3.23
Au3 0.6540 0.0000 0.6540  8 La 3.15-3.32, 1 Au 3.20
Au4 0.3460 0.0000 0.3460  8 La 3.15-3.32, 1 Au 3.20

The following is a DFT calculation (GGA-PBE) of crystalline ZnTcCl2 at its relaxed geometry.

Results
Formation energy (no corrections) ... -19 kJ per mole of atoms
Uncorrected energy ... -4.033 eV/atom
Energy relative to the lowest polymorph listed for this composition ... 1.145 kcal/mol of atoms

a b c (Å): 3.1827 3.7870 7.6283
angles (deg): 75.72 90.00 90.00
Closest atoms and distances in Å follow each position.
Sites, in units of the cell vectors:
Zn1 0.5000 0.7198 0.6856  4 Tc 2.60
Tc1 0.0000 0.2747 0.5752  3 Cl 2.36-2.40, 4 Zn 2.60
Cl1 0.0000 0.1135 0.8999  1 Tc 2.40
Cl2 0.5000 0.3920 0.3393  2 Tc 2.36